1.
The following is a PBE-GGA calculation of CdP2SeO after structural relaxation, from the Alexandria database.

- energy above the most stable polymorph in this dataset (meV per atom) = 0
- ΔE_f (raw) (eV per atom) = 0.461

```
data_CdP2SeO
_space_group_name_H-M_alt 'P 4/m m m'
_space_group_IT_number 123
_space_group_name_Hall '-P 4 2'
_cell_length_a 4.973
_cell_length_b 4.973
_cell_length_c 3.715
_cell_angle_alpha 90.00
_cell_angle_beta 90.00
_cell_angle_gamma 90.00
loop_
_atom_site_label
_atom_site_fract_x
_atom_site_fract_y
_atom_site_fract_z
Cd1 0.000 0.000 0.000
P1 0.000 0.500 0.500
Se1 0.500 0.500 0.500
O1 0.500 0.500 0.000
```

=====

2.
The following is a PBE-GGA calculation of CdPSeO2 after structural relaxation, from the Alexandria database.

- energy above the most stable polymorph in this dataset (meV per atom) = 612
- ΔE_f (raw) (eV per atom) = 0.602

```
data_CdPSeO2
_space_group_name_H-M_alt 'P 4/m m m'
_space_group_IT_number 123
_space_group_name_Hall '-P 4 2'
_cell_length_a 3.973
_cell_length_b 3.973
_cell_length_c 6.789
_cell_angle_alpha 90.00
_cell_angle_beta 90.00
_cell_angle_gamma 90.00
loop_
_atom_site_label
_atom_site_fract_x
_atom_site_fract_y
_atom_site_fract_z
Cd1 0.000 0.000 0.000
P1 0.000 0.000 0.500
Se1 0.500 0.500 0.500
O1 0.000 0.500 0.000
```

=====

3.
The following is a PBE-GGA calculation of Cd5Si2PO12 after structural relaxation, from the Alexandria database.

- ΔE_f (raw) (eV per atom) = -1.758

```
data_Cd5Si2PO12
_space_group_name_H-M_alt 'P n m a'
_space_group_IT_number 62
_cell_length_a 6.832
_cell_length_b 15.247
_cell_length_c 10.353
_cell_angle_alpha 90.00
_cell_angle_beta 90.00
_cell_angle_gamma 90.00
loop_
_space_group_symop_operation_xyz
'x,y,z'
'-x,-y,-z'
'-x+1/2,-y,z+1/2'
'x+1/2,y,-z+1/2'
'x+1/2,-y+1/2,-z+1/2'
'-x+1/2,y+1/2,z+1/2'
'-x,y+1/2,-z'
'x,-y+1/2,z'
loop_
_atom_site_label
_atom_site_fract_x
_atom_site_fract_y
_atom_site_fract_z
Cd1 0.054 0.250 0.224
Cd2 0.146 0.589 0.553
Cd3 0.155 0.607 0.161
Si1 0.148 0.571 0.866
P1 0.006 0.250 0.591
O1 0.030 0.111 0.044
O2 0.039 0.750 0.556
O3 0.088 0.665 0.356
O4 0.100 0.016 0.779
O5 0.176 0.053 0.473
O6 0.202 0.650 0.760
O7 0.229 0.250 0.620
```

=====

4.
The following is a PBE-GGA calculation of Cd2SiP4O14 after structural relaxation, from the Alexandria database.

- energy above the most stable polymorph in this dataset (meV per atom) = 18
- ΔE_f (raw) (eV per atom) = -2.080

```
data_Cd2SiP4O14
_space_group_name_H-M_alt 'C 1 2/c 1'
_space_group_IT_number 15
_cell_length_a 18.262
_cell_length_b 5.689
_cell_length_c 13.002
_cell_angle_alpha 90.00
_cell_angle_beta 105.84
_cell_angle_gamma 90.00
loop_
_space_group_symop_operation_xyz
'x,y,z'
'-x,-y,-z'
'-x,y,-z+1/2'
'x,-y,z+1/2'
'x+1/2,y+1/2,z'
'-x+1/2,-y+1/2,-z'
'-x+1/2,y+1/2,-z+1/2'
'x+1/2,-y+1/2,z+1/2'
loop_
_atom_site_label
_atom_site_fract_x
_atom_site_fract_y
_atom_site_fract_z
Cd1 0.227 0.062 0.132
Si1 0.000 0.429 0.250
P1 0.123 0.440 0.654
P2 0.125 0.285 0.439
O1 0.050 0.254 0.343
O2 0.054 0.393 0.703
O3 0.085 0.355 0.534
O4 0.141 0.302 0.160
O5 0.163 0.051 0.465
O6 0.169 0.496 0.420
O7 0.190 0.278 0.706
```

=====

5.
The following is a PBE-GGA calculation of Cd2SiPO after structural relaxation, from the Alexandria database.

- ΔE_f (raw) (eV per atom) = 0.765

```
data_Cd2SiPO
_space_group_name_H-M_alt 'P 4/m m m'
_space_group_IT_number 123
_space_group_name_Hall '-P 4 2'
_cell_length_a 4.990
_cell_length_b 4.990
_cell_length_c 4.603
_cell_angle_alpha 90.00
_cell_angle_beta 90.00
_cell_angle_gamma 90.00
loop_
_atom_site_label
_atom_site_fract_x
_atom_site_fract_y
_atom_site_fract_z
Cd1 0.000 0.500 0.000
Si1 0.000 0.000 0.500
P1 0.000 0.000 0.000
O1 0.500 0.500 0.500
```

=====

6.
The following is a PBE-GGA calculation of Cd2SiP4O14 after structural relaxation, from the Alexandria database.

- energy above the most stable polymorph in this dataset (meV per atom) = 0
- ΔE_f (raw) (eV per atom) = -2.098

```
data_Cd2SiP4O14
_space_group_name_H-M_alt 'C 1 2/c 1'
_space_group_IT_number 15
_cell_length_a 17.520
_cell_length_b 5.281
_cell_length_c 12.720
_cell_angle_alpha 90.00
_cell_angle_beta 103.19
_cell_angle_gamma 90.00
loop_
_space_group_symop_operation_xyz
'x,y,z'
'-x,-y,-z'
'-x,y,-z+1/2'
'x,-y,z+1/2'
'x+1/2,y+1/2,z'
'-x+1/2,-y+1/2,-z'
'-x+1/2,y+1/2,-z+1/2'
'x+1/2,-y+1/2,z+1/2'
loop_
_atom_site_label
_atom_site_fract_x
_atom_site_fract_y
_atom_site_fract_z
Cd1 0.245 0.158 0.132
Si1 0.000 0.133 0.750
P1 0.119 0.348 0.632
P2 0.131 0.171 0.416
O1 0.043 0.316 0.679
O2 0.061 0.046 0.331
O3 0.089 0.210 0.516
O4 0.134 0.376 0.118
O5 0.149 0.422 0.374
O6 0.187 0.193 0.698
O7 0.197 0.019 0.951
```